(1)
{
  "formula": "Ac3ThBi4",
  "functional": "PBE",
  "state": "optimized geometry",
  "sg": "No. 65",
  "lattice": [[4.800, -6.774, 0.000], [4.800, 6.774, 0.000], [0.000, 0.000, 4.787]],
  "species": ["Ac", "Ac", "Ac", "Th", "Bi", "Bi", "Bi", "Bi"],
  "fractional_positions": [[0.000, 0.000, 0.000], [0.000, 0.500, 0.500], [0.500, 0.000, 0.500], [0.500, 0.500, 0.000], [0.257, 0.743, 0.000], [0.262, 0.262, 0.500], [0.738, 0.738, 0.500], [0.743, 0.257, 0.000]]
}

---

(2)
{
  "formula": "AcTmBi",
  "functional": "PBE",
  "state": "optimized geometry",
  "sg": "No. 216",
  "lattice": [[0.000, 3.828, 3.828], [3.828, 0.000, 3.828], [3.828, 3.828, 0.000]],
  "species": ["Ac", "Tm", "Bi"],
  "fractional_positions": [[0.000, 0.000, 0.000], [0.500, 0.500, 0.500], [0.250, 0.250, 0.250]]
}

---

(3)
{
  "formula": "AcTmBi",
  "functional": "PBE",
  "state": "optimized geometry",
  "sg": "No. 216",
  "lattice": [[0.000, 3.976, 3.976], [3.976, 0.000, 3.976], [3.976, 3.976, 0.000]],
  "species": ["Ac", "Tm", "Bi"],
  "fractional_positions": [[0.000, 0.000, 0.000], [0.250, 0.250, 0.250], [0.750, 0.750, 0.750]]
}

---

no.,uncorrected energy (eV for the cell shown)
1,-43.189
2,-13.263
3,-11.679